## Tl2SbSe2 (PBE)

Data for crystalline Tl2SbSe2 at its relaxed geometry.

a b c (Å): 7.905 7.905 4.836
angles (deg): 90.00 90.00 90.00
Element x y z (fractional)
Tl  0.146  0.354  0.000
Tl  0.354  0.854  0.000
Tl  0.646  0.146  0.000
Tl  0.854  0.646  0.000
Sb  0.000  0.000  0.500
Sb  0.500  0.500  0.500
Se  0.177  0.677  0.500
Se  0.323  0.177  0.500
Se  0.677  0.823  0.500
Se  0.823  0.323  0.500

Computed properties:
uncorrected formation energy = -0.1621 eV per atom
theoretical density = 7.57 g/cm3